1.
Compound: ScTcTe2
Source: the Alexandria database
Functional: GGA-PBE
Structure: relaxed

ΔE to the lowest computed polymorph in meV per atom: 114
Formation energy (no corrections) in eV per atom: -0.277
Crystal system: tetragonal

Lattice parameters (Å, degrees): 4.8655 4.8655 3.4224 90.00 90.00 90.00
Atoms (fractional coordinates):
Tc 0.0000 0.5000 0.5000
Te 0.5000 0.5000 0.0000
Te 0.0000 0.0000 0.0000
Sc 0.5000 0.0000 0.5000

***

2.
Compound: La2NiAs3Ir4
Source: the Alexandria database
Functional: GGA-PBE
Structure: relaxed

VASP energy in eV per atom: -7.222
Crystal system: tetragonal

Lattice parameters (Å, degrees): 4.2528 4.2528 10.2332 90.00 90.00 90.00
Site moments in Bohr magnetons follow the coordinates.
Atoms (fractional coordinates):
As 0.0000 0.0000 0.5000  0.00
As 0.0000 0.5000 0.1385  0.00
As 0.5000 0.0000 0.8615  0.00
Ir 0.5000 0.0000 0.6248  0.04
Ir 0.0000 0.5000 0.3752  0.04
Ir 0.5000 0.5000 0.0000  0.00
Ir 0.0000 0.0000 0.0000  0.00
Ni 0.5000 0.5000 0.5000  0.18
La 0.5000 0.0000 0.2604  0.00
La 0.0000 0.5000 0.7396  0.00

***

3.
Compound: CaSnHg2
Source: the Alexandria database
Functional: GGA-PBE
Structure: relaxed

VASP energy in eV per atom: -1.896
Crystal system: trigonal

Lattice parameters (Å, degrees): 4.1296 4.1296 8.2582 75.52 75.52 60.00
Atoms (fractional coordinates):
Ca 0.6669 0.6669 0.9993
Hg 0.0865 0.0865 0.7405
Hg 0.2469 0.2469 0.2592
Sn 0.4997 0.4997 0.5010

***

4.
Compound: ZnRh2Au
Source: the Alexandria database
Functional: GGA-PBE
Structure: relaxed

VASP energy in eV per atom: -4.897
Crystal system: monoclinic

Lattice parameters (Å, degrees): 4.8216 4.8216 4.7453 77.64 77.64 33.96
Atoms (fractional coordinates):
Rh 0.0106 0.0106 0.9873
Rh 0.4894 0.4894 0.5127
Zn 0.7500 0.7500 0.7500
Au 0.2500 0.2500 0.2500